[1]
The following is a PBEsol calculation of a relaxed structure of ZrOsAu, from the Alexandria database.

Computed properties:
Fermi-level density of states, states/eV/atom: 0.6674
DFT formation energy, eV/atom: -0.0264
DFT total energy, eV/cell: -25.3

a b c (Å): 4.6474 4.6474 2.7114
angles (deg): 90.00 90.00 120.00
Space group P3m1 (No. 156)
Symmetry-distinct sites (fractional):
Zr (0.0000, 0.0000, 0.0000) [1 per cell]
Os (0.3333, 0.6667, 0.3099) [1 per cell]
Au (0.6667, 0.3333, 0.6378) [1 per cell]

[2]
The following is a PBEsol calculation of a relaxed structure of TaSi2Se, from the Alexandria database.

Computed properties:
Fermi-level density of states, states/eV/atom: 0.5591
DFT total energy, eV/cell: -54.3
Formation energy without anion corrections, meV/atom: 184

a b c (Å): 3.6436 4.5485 7.8332
angles (deg): 90.00 90.00 90.00
Space group Cmmm (No. 65)
Symmetry-distinct sites (fractional):
Ta (0.0000, 0.0000, 0.0000) [2 per cell]
Si (0.0000, 0.5000, 0.2376) [4 per cell]
Se (0.0000, 0.0000, 0.5000) [2 per cell]

[3]
The following is a PBEsol calculation of a relaxed structure of CuAg3Ir, from the Alexandria database.

Computed properties:
Fermi-level density of states, states/eV/atom: 0.9060
DFT formation energy, eV/atom: 1.3212
DFT total energy, eV/cell: -17.5

a b c (Å): 4.5142 4.5142 4.5142
angles (deg): 90.00 90.00 90.00
Space group Pm-3m (No. 221)
Symmetry-distinct sites (fractional):
Cu (0.0000, 0.0000, 0.0000) [1 per cell]
Ag (0.0000, 0.0000, 0.5000) [3 per cell]
Ir (0.5000, 0.5000, 0.5000) [1 per cell]

[4]
The following is a PBEsol calculation of a relaxed structure of SrLi2Si, from the Alexandria database.

Computed properties:
Fermi-level density of states, states/eV/atom: 0.0940
DFT total energy, eV/cell: -37.9
Formation energy without anion corrections, meV/atom: -275

a b c (Å): 4.5214 4.5214 14.0850
angles (deg): 90.00 90.00 120.00
Space group R-3m (No. 166, hexagonal axes)
Symmetry-distinct sites (fractional):
Sr (0.0000, 0.0000, 0.0000) [3 per cell]
Li (0.0000, 0.0000, 0.2074) [6 per cell]
Si (0.0000, 0.0000, 0.5000) [3 per cell]

[5]
The following is a PBEsol calculation of a relaxed structure of KRb2BaBe, from the Alexandria database.

Computed properties:
Fermi-level density of states, states/eV/atom: 1.0299
DFT formation energy, eV/atom: 1.0877
DFT total energy, eV/cell: -3.9

a b c (Å): 7.1595 7.1595 7.8419
angles (deg): 90.00 90.00 90.00
Space group P4/mmm (No. 123)
Symmetry-distinct sites (fractional):
K (0.0000, 0.0000, 0.0000) [1 per cell]
Rb (0.0000, 0.5000, 0.0000) [2 per cell]
Ba (0.0000, 0.0000, 0.5000) [1 per cell]
Be (0.5000, 0.5000, 0.5000) [1 per cell]

[6]
The following is a PBEsol calculation of a relaxed structure of Sr2MgCu, from the Alexandria database.

Computed properties:
Fermi-level density of states, states/eV/atom: 0.8456
DFT formation energy, eV/atom: 0.0626
DFT total energy, eV/cell: -19.0

a b c (Å): 3.7148 5.5944 11.4931
angles (deg): 90.00 90.00 90.00
Space group Imm2 (No. 44)
Symmetry-distinct sites (fractional):
Sr (0.0000, 0.0000, 0.0000) [2 per cell]
Sr (0.0000, 0.5000, 0.1953) [2 per cell]
Mg (0.0000, 0.0000, 0.3929) [2 per cell]
Cu (0.0000, 0.5000, 0.7252) [2 per cell]